No. 1
A relaxed structure of AsP, computed with PBE.

density of states at the Fermi level	1.21	states/eV/f.u.
space-group type	I4_1/amd (141)
DFT formation energy	0.62	eV per atom
polymorph energy (0 for the lowest one)	1.133	eV per formula unit

Cell: 6.2322 6.2322 6.2322 Å, 146.45 146.45 48.17°
Last column: nearest neighbours and their distance in Å.
Positions (direct):
P 0.7500 0.2500 0.5000  4 As 2.54
P 0.5000 0.5000 0.0000  4 As 2.54
As 0.0000 0.0000 0.0000  4 P 2.54
As 0.2500 0.7500 0.5000  4 P 2.54

---

No. 2
A relaxed structure of As6P7, computed with PBE.

density of states at the Fermi level	5.83	states/eV/f.u.
space-group type	R-3m (166)
DFT formation energy	0.51	eV per atom

Cell: 8.1996 8.1996 8.1996 Å, 44.83 44.83 44.83°
Last column: nearest neighbours and their distance in Å.
Positions (direct):
P 0.4264 0.8929 0.4264  2 As 2.39-2.53, 1 P 2.47
P 0.4264 0.4264 0.8929  2 As 2.39-2.53, 1 P 2.47
P 0.5736 0.1071 0.5736  2 As 2.39-2.53, 1 P 2.47
P 0.5000 0.5000 0.5000  6 P 2.47
P 0.8929 0.4264 0.4264  2 As 2.39-2.53, 1 P 2.47
P 0.1071 0.5736 0.5736  2 As 2.39-2.53, 1 P 2.47
P 0.5736 0.5736 0.1071  2 As 2.39-2.53, 1 P 2.47
As 0.6775 0.6775 0.6775  6 P 2.53-2.70
As 0.8158 0.8158 0.8158  3 P 2.39, 1 As 2.54
As 0.9307 0.9307 0.9307  1 As 2.54
As 0.1842 0.1842 0.1842  3 P 2.39, 1 As 2.54
As 0.0693 0.0693 0.0693  1 As 2.54
As 0.3225 0.3225 0.3225  6 P 2.53-2.70

---

No. 3
A relaxed structure of AsP3, computed with PBE.

space-group type	Cm (8)
DFT formation energy	0.07	eV per atom
polymorph energy (0 for the lowest one)	0.056	eV per formula unit

Cell: 11.5371 3.3675 5.8301 Å, 90.00 100.03 90.00°
Last column: nearest neighbours and their distance in Å.
Positions (direct):
P 0.8845 0.0000 0.2816  3 P 2.29
P 0.2585 0.5000 0.5795  3 As 2.36
P 0.7772 0.5000 0.4113  3 P 2.29
P 0.2585 0.0000 0.0795  3 As 2.36
P 0.7772 0.0000 0.9113  3 P 2.29
P 0.8845 0.5000 0.7816  3 P 2.29
As 0.3769 0.5000 0.9537  3 P 2.36
As 0.3769 0.0000 0.4537  3 P 2.36